An optimized crystal structure of YNiBr2. Source: Alexandria, functional PBE-GGA.

Output
The formation energy without anion corrections is -0.715 eV/atom. The space group is Imm2 (44). The value obtained for the energy is -36.9 eV for the cell shown.

POSCAR file:
```
YNiBr2
1.0
3.6736 0.0000 0.0000
0.0000 4.0644 0.0000
0.0000 0.0000 14.3133
Y Ni Br
2 2 4
Direct
0.0000 0.0000 0.0000
0.5000 0.5000 0.5000
0.0000 0.5000 0.6308
0.5000 0.0000 0.1308
0.0000 0.0000 0.3998
0.0000 0.5000 0.1428
0.5000 0.0000 0.6428
0.5000 0.5000 0.8998
```